[1]
Below is a relaxed structure of RbSe3Cl, with properties calculated at the PBE-GGA level.

Cell: 6.7985 6.7985 6.7985 Å, 90.00 90.00 90.00°
Last column: nearest neighbours and their distance in Å.
Positions (direct):
1 Rb 0.0000 0.0000 0.0000  6 Se 3.40
2 Se 0.0000 0.0000 0.5000  2 Rb 3.40
3 Se 0.0000 0.5000 0.0000  2 Rb 3.40
4 Se 0.5000 0.0000 0.0000  2 Rb 3.40
5 Cl 0.5000 0.5000 0.5000  12 Se 4.81

Values from the calculation:
The polymorph energy (0 for the lowest one) is 715.0 meV/atom. Its symmetry is No. 221. The uncorrected formation energy is 0.9145 eV per atom. As for the crystal system: cubic.

---

[2]
Below is a relaxed structure of Mn2VI, with properties calculated at the PBE-GGA level.

Cell: 4.0011 4.0011 18.5485 Å, 90.00 90.00 90.00°
Last column: nearest neighbours and their distance in Å.
Positions (direct):
1 Mn 0.2400 0.2500 0.1250  2 V 2.70, 2 I 2.73, 4 Mn 2.77-2.89
2 Mn 0.2500 0.7400 0.3750  2 V 2.70, 2 I 2.73, 4 Mn 2.77-2.89
3 Mn 0.2500 0.7600 0.8750  2 V 2.70, 2 I 2.73, 4 Mn 2.77-2.89
4 Mn 0.2600 0.2500 0.6250  2 V 2.70, 2 I 2.73, 4 Mn 2.77-2.89
5 Mn 0.7400 0.7500 0.6250  2 V 2.70, 2 I 2.73, 4 Mn 2.77-2.89
6 Mn 0.7500 0.2400 0.8750  2 V 2.70, 2 I 2.73, 4 Mn 2.77-2.89
7 Mn 0.7500 0.2600 0.3750  2 V 2.70, 2 I 2.73, 4 Mn 2.77-2.89
8 Mn 0.7600 0.7500 0.1250  2 V 2.70, 2 I 2.73, 4 Mn 2.77-2.89
9 V 0.0000 0.0000 0.0000  4 Mn 2.70, 4 I 2.83
10 V 0.0000 0.5000 0.2500  4 Mn 2.70, 4 I 2.83
11 V 0.5000 0.0000 0.7500  4 Mn 2.70, 4 I 2.83
12 V 0.5000 0.5000 0.5000  4 Mn 2.70, 4 I 2.83
13 I 0.0000 0.0000 0.5000  4 Mn 2.73, 4 V 2.83
14 I 0.0000 0.5000 0.7500  4 Mn 2.73, 4 V 2.83
15 I 0.5000 0.0000 0.2500  4 Mn 2.73, 4 V 2.83
16 I 0.5000 0.5000 0.0000  4 Mn 2.73, 4 V 2.83

Values from the calculation:
The polymorph energy (0 for the lowest one) is 0.0 meV/atom. Its symmetry is No. 122. The uncorrected formation energy is 0.8153 eV per atom. As for the crystal system: tetragonal.

---

[3]
Below is a relaxed structure of Ba2ReHg, with properties calculated at the PBE-GGA level.

Cell: 3.6948 5.6810 12.0164 Å, 90.00 90.00 90.00°
Last column: nearest neighbours and their distance in Å.
Positions (direct):
1 Ba 0.0000 0.0000 0.0000  4 Re 3.43, 4 Ba 3.66-3.69
2 Ba 0.0000 0.5000 0.1927  2 Re 3.40, 4 Hg 3.55, 4 Ba 3.66-3.69
3 Ba 0.5000 0.0000 0.6927  2 Re 3.40, 4 Hg 3.55, 4 Ba 3.66-3.69
4 Ba 0.5000 0.5000 0.5000  4 Re 3.43, 4 Ba 3.66-3.69
5 Re 0.0000 0.0000 0.4552  2 Hg 2.80
6 Re 0.5000 0.5000 0.9552  2 Hg 2.80
7 Hg 0.0000 0.5000 0.7805  2 Re 2.80
8 Hg 0.5000 0.0000 0.2805  2 Re 2.80

Values from the calculation:
The energy of formation is 0.6504 eV/atom. Its symmetry is No. 44. As for the crystal system: orthorhombic.

---

[4]
Below is a relaxed structure of Tb5Tm2Mg, with properties calculated at the PBE-GGA level.

Cell: 7.0320 7.0320 9.8105 Å, 90.00 90.00 90.00°
Last column: nearest neighbours and their distance in Å.
Positions (direct):
1 Tb 0.0000 0.0000 0.0000  8 Tb 3.49, 4 Tm 3.52
2 Tb 0.2500 0.2500 0.2500  6 Tb 3.49-3.52, 2 Mg 3.49, 4 Tm 3.49
3 Tb 0.2500 0.2500 0.7500  6 Tb 3.49-3.52, 2 Mg 3.49, 4 Tm 3.49
4 Tb 0.2500 0.7500 0.2500  6 Tb 3.49-3.52, 2 Mg 3.49, 4 Tm 3.49
5 Tb 0.2500 0.7500 0.7500  2 Mg 3.49, 4 Tm 3.49, 6 Tb 3.49-3.52
6 Tb 0.5000 0.5000 0.5000  8 Tb 3.49, 4 Tm 3.52
7 Tb 0.7500 0.2500 0.2500  6 Tb 3.49-3.52, 2 Mg 3.49, 4 Tm 3.49
8 Tb 0.7500 0.2500 0.7500  2 Mg 3.49, 4 Tm 3.49, 6 Tb 3.49-3.52
9 Tb 0.7500 0.7500 0.2500  6 Tb 3.49-3.52, 2 Mg 3.49, 4 Tm 3.49
10 Tb 0.7500 0.7500 0.7500  2 Mg 3.49, 4 Tm 3.49, 6 Tb 3.49-3.52
11 Tm 0.0000 0.5000 0.0000  10 Tb 3.49-3.52, 2 Mg 3.52
12 Tm 0.0000 0.5000 0.5000  10 Tb 3.49-3.52, 2 Mg 3.52
13 Tm 0.5000 0.0000 0.0000  10 Tb 3.49-3.52, 2 Mg 3.52
14 Tm 0.5000 0.0000 0.5000  10 Tb 3.49-3.52, 2 Mg 3.52
15 Mg 0.0000 0.0000 0.5000  8 Tb 3.49, 4 Tm 3.52
16 Mg 0.5000 0.5000 0.0000  8 Tb 3.49, 4 Tm 3.52

Values from the calculation:
The energy of formation is 0.0207 eV/atom. The polymorph energy (0 for the lowest one) is 5.8 meV/atom. Its symmetry is No. 139. As for the crystal system: tetragonal.

---

[5]
Below is a relaxed structure of Sc2TaCo, with properties calculated at the PBE-GGA level.

Cell: 3.2060 4.7532 9.6026 Å, 90.00 90.00 90.00°
Last column: nearest neighbours and their distance in Å.
Positions (direct):
1 Sc 0.0000 0.0000 0.0000  4 Co 2.87, 4 Ta 3.12-3.21, 6 Sc 3.12-3.21
2 Sc 0.0000 0.5000 0.2107  2 Co 2.70, 4 Ta 2.97
3 Sc 0.5000 0.0000 0.7107  2 Co 2.70, 4 Ta 2.97
4 Sc 0.5000 0.5000 0.5000  4 Co 2.87, 4 Ta 3.12-3.21, 6 Sc 3.12-3.21
5 Ta 0.0000 0.5000 0.7898  2 Co 2.47
6 Ta 0.5000 0.0000 0.2898  2 Co 2.47
7 Co 0.0000 0.0000 0.4849  2 Ta 2.47, 2 Sc 2.70
8 Co 0.5000 0.5000 0.9849  2 Ta 2.47, 2 Sc 2.70

Values from the calculation:
The energy of formation is -0.0608 eV/atom. The polymorph energy (0 for the lowest one) is 20.2 meV/atom. Its symmetry is No. 44. As for the crystal system: orthorhombic.

---

[6]
Below is a relaxed structure of SrLu2Al, with properties calculated at the PBE-GGA level.

Cell: 3.5598 3.5598 34.3814 Å, 90.00 90.00 120.00°
Last column: nearest neighbours and their distance in Å.
Positions (direct):
1 Sr 0.0000 0.0000 0.0000  2 Lu 3.55, 6 Sr 3.56
2 Sr 0.3333 0.6667 0.6667  2 Lu 3.55, 6 Sr 3.56
3 Sr 0.6667 0.3333 0.3333  2 Lu 3.55, 6 Sr 3.56
4 Lu 0.0000 0.0000 0.1033  3 Al 3.00
5 Lu 0.0000 0.0000 0.8967  3 Al 3.00
6 Lu 0.3333 0.6667 0.5634  3 Al 3.00
7 Lu 0.3333 0.6667 0.7699  3 Al 3.00
8 Lu 0.6667 0.3333 0.2301  3 Al 3.00
9 Lu 0.6667 0.3333 0.4366  3 Al 3.00
10 Al 0.0000 0.0000 0.5000  6 Lu 3.00
11 Al 0.3333 0.6667 0.1667  6 Lu 3.00
12 Al 0.6667 0.3333 0.8333  6 Lu 3.00

Values from the calculation:
The energy of formation is 0.1670 eV/atom. The polymorph energy (0 for the lowest one) is 250.7 meV/atom. Its symmetry is No. 166. As for the crystal system: trigonal.

---

no.,magnetic moment (μB per formula unit),uncorrected energy (eV/atom)
1,6.00,-1.739
2,4.18,-6.437
3,1.15,-3.498
4,0.00,-4.190
5,0.00,-7.966
6,0.00,-3.450